1.
Material: Nd2Mg3Tl3
Method: DFT, PBE
State: optimized geometry

ΔH_f (0 K): -264 meV per atom
VASP energy: -2.942 eV per atom
Calculated density: 7.588 g/cm³

Cell: 4.847 4.899 8.982 Å, 90.00 90.00 90.00°
Atoms (fractional coordinates):
Nd 0.000 0.000 0.248
Nd 0.000 0.000 0.752
Mg 0.000 0.500 0.500
Mg 0.500 0.500 0.252
Mg 0.500 0.500 0.748
Tl 0.000 0.500 0.000
Tl 0.500 0.000 0.000
Tl 0.500 0.000 0.500

2.
Material: Cs2GaMoCl6
Method: DFT, PBE
State: optimized geometry

VASP energy: -3.996 eV per atom
Calculated density: 3.419 g/cm³
ΔE_f (raw): -128.5 kJ per mole of atoms

Cell: 7.620 7.620 7.620 Å, 60.00 60.00 60.00°
Atoms (fractional coordinates):
Cs 0.250 0.250 0.250
Cs 0.750 0.750 0.750
Ga 0.000 0.000 0.000
Mo 0.500 0.500 0.500
Cl 0.270 0.270 0.730
Cl 0.270 0.730 0.270
Cl 0.270 0.730 0.730
Cl 0.730 0.270 0.270
Cl 0.730 0.270 0.730
Cl 0.730 0.730 0.270

3.
Material: Th2AlSiRh6
Method: DFT, PBE
State: optimized geometry

VASP energy: -7.518 eV per atom
Calculated density: 9.874 g/cm³
ΔE_f (raw): -68.2 kJ per mole of atoms

Cell: 5.750 5.751 7.448 Å, 67.39 67.35 60.04°
Atoms (fractional coordinates):
Th 0.225 0.227 0.323
Th 0.775 0.773 0.677
Al 0.500 0.500 0.500
Si 0.000 0.000 0.000
Rh 0.246 0.730 0.776
Rh 0.247 0.245 0.772
Rh 0.267 0.755 0.226
Rh 0.733 0.245 0.774
Rh 0.753 0.755 0.228
Rh 0.754 0.270 0.224

4.
Material: Y2O3
Method: DFT, PBE
State: optimized geometry

VASP energy: -9.024 eV per atom
Calculated density: 5.323 g/cm³
ΔE_f (raw): -334.1 kJ per mole of atoms

Cell: 9.192 3.416 9.358 Å, 90.00 106.50 90.00°
Atoms (fractional coordinates):
Y 0.048 0.250 0.184
Y 0.166 0.250 0.586
Y 0.320 0.750 0.987
Y 0.438 0.250 0.329
Y 0.562 0.750 0.671
Y 0.680 0.250 0.013
Y 0.834 0.750 0.414
Y 0.952 0.750 0.816
O 0.079 0.750 0.404
O 0.106 0.250 0.953
O 0.191 0.750 0.744
O 0.263 0.750 0.221
O 0.407 0.250 0.568
O 0.463 0.250 0.100
O 0.537 0.750 0.900
O 0.593 0.750 0.432
O 0.737 0.250 0.779
O 0.809 0.250 0.256
O 0.894 0.750 0.047
O 0.921 0.250 0.596

5.
Material: CeTmTh4
Method: DFT, PBE
State: optimized geometry

ΔH_f (0 K): 45 meV per atom
VASP energy: -6.635 eV per atom
Calculated density: 10.943 g/cm³
ΔE to the lowest computed polymorph: 4.9 meV/atom

Cell: 18.319 3.544 6.128 Å, 90.00 109.29 90.00°
Atoms (fractional coordinates):
Ce 0.000 0.000 0.000
Ce 0.500 0.500 0.000
Tm 0.000 0.500 0.500
Tm 0.500 0.000 0.500
Th 0.166 0.500 0.000
Th 0.167 0.000 0.500
Th 0.333 0.500 0.500
Th 0.334 0.000 0.000
Th 0.666 0.000 0.000
Th 0.667 0.500 0.500
Th 0.833 0.000 0.500
Th 0.834 0.500 0.000

6.
Material: CaZnCr2
Method: DFT, PBE
State: optimized geometry

ΔH_f (0 K): 649 meV per atom
VASP energy: -4.982 eV per atom
Calculated density: 4.420 g/cm³

Cell: 4.354 4.354 4.151 Å, 90.00 90.00 90.00°
Atoms (fractional coordinates):
Ca 0.000 0.000 0.000
Zn 0.500 0.500 0.000
Cr 0.000 0.500 0.500
Cr 0.500 0.000 0.500

7.
Material: CeTlSn2Br8
Method: DFT, PBE
State: optimized geometry

VASP energy: -3.584 eV per atom
Calculated density: 4.364 g/cm³
ΔE_f (raw): -107.1 kJ per mole of atoms

Cell: 6.934 7.305 9.175 Å, 89.96 89.97 89.10°
Atoms (fractional coordinates):
Ce 0.000 0.000 0.000
Tl 0.000 0.000 0.500
Sn 0.500 0.500 0.255
Sn 0.500 0.500 0.745
Br 0.247 0.326 0.000
Br 0.247 0.838 0.225
Br 0.248 0.838 0.775
Br 0.275 0.367 0.500
Br 0.725 0.633 0.500
Br 0.752 0.162 0.225
Br 0.753 0.162 0.775
Br 0.753 0.674 0.000

8.
Material: CaNd2Tm3Bi6
Method: DFT, PBE
State: optimized geometry

ΔH_f (0 K): -818 meV per atom
VASP energy: -4.838 eV per atom
Calculated density: 8.821 g/cm³

Cell: 10.132 10.132 9.066 Å, 103.20 103.20 25.77°
Atoms (fractional coordinates):
Ca 0.000 0.000 0.000
Nd 0.335 0.335 0.670
Nd 0.665 0.665 0.330
Tm 0.000 0.000 0.500
Tm 0.334 0.334 0.167
Tm 0.666 0.666 0.833
Bi 0.165 0.165 0.589
Bi 0.169 0.169 0.075
Bi 0.497 0.497 0.257
Bi 0.503 0.503 0.743
Bi 0.831 0.831 0.925
Bi 0.835 0.835 0.411

9.
Material: TbYGa2Pd5
Method: DFT, PBE
State: optimized geometry

ΔH_f (0 K): -829 meV per atom
VASP energy: -5.619 eV per atom
Calculated density: 9.319 g/cm³

Cell: 4.205 4.205 9.263 Å, 90.00 90.00 90.00°
Atoms (fractional coordinates):
Tb 0.000 0.000 0.000
Y 0.000 0.000 0.500
Ga 0.500 0.500 0.366
Ga 0.500 0.500 0.634
Pd 0.000 0.500 0.222
Pd 0.000 0.500 0.778
Pd 0.500 0.000 0.222
Pd 0.500 0.000 0.778
Pd 0.500 0.500 0.000

10.
Material: La8Sm3Ho
Method: DFT, PBE
State: optimized geometry

ΔH_f (0 K): 291 meV per atom
VASP energy: -4.555 eV per atom
Calculated density: 6.292 g/cm³

Cell: 8.850 8.850 8.850 Å, 134.48 100.41 96.82°
Atoms (fractional coordinates):
La 0.085 0.249 0.836
La 0.226 0.278 0.504
La 0.226 0.722 0.949
La 0.412 0.249 0.164
La 0.588 0.751 0.836
La 0.774 0.278 0.051
La 0.774 0.722 0.496
La 0.915 0.751 0.164
Sm 0.235 0.735 0.500
Sm 0.500 0.500 0.000
Sm 0.765 0.265 0.500
Ho 0.000 0.000 0.000

11.
Material: CsRu3F
Method: DFT, PBE
State: optimized geometry

VASP energy: -4.544 eV per atom
Calculated density: 7.422 g/cm³
ΔE to the lowest computed polymorph: 0.0 meV/atom
ΔE_f (raw): 151.1 kJ per mole of atoms

Cell: 4.670 4.670 4.670 Å, 90.00 90.00 90.00°
Atoms (fractional coordinates):
Cs 0.000 0.000 0.000
Ru 0.000 0.500 0.500
Ru 0.500 0.000 0.500
Ru 0.500 0.500 0.000
F 0.500 0.500 0.500

12.
Material: DyYRh
Method: DFT, PBE
State: optimized geometry

ΔH_f (0 K): -573 meV per atom
VASP energy: -6.712 eV per atom
Calculated density: 7.452 g/cm³
ΔE to the lowest computed polymorph: 63.6 meV/atom

Cell: 6.810 6.810 6.810 Å, 90.00 90.00 90.00°
Atoms (fractional coordinates):
Dy 0.000 0.000 0.000
Dy 0.000 0.500 0.500
Dy 0.500 0.000 0.500
Dy 0.500 0.500 0.000
Y 0.000 0.000 0.500
Y 0.000 0.500 0.000
Y 0.500 0.000 0.000
Y 0.500 0.500 0.500
Rh 0.250 0.250 0.750
Rh 0.250 0.750 0.250
Rh 0.750 0.250 0.250
Rh 0.750 0.750 0.750

Which of these has the highest calculated density?
CeTmTh4